Record 1
{"formula": "RbI4", "functional": "GGA-PBE", "state": "relaxed", "dos_ef_per_ev_atom": 0.0000, "total_energy_ev_per_atom": -1.95, "formation_energy_uncorrected_ev_per_atom": -0.513, "de_polymorph_ev_per_atom": 0.0823, "cell": [[9.140, 0.000, 0.000], [0.000, 9.140, 0.000], [4.570, 4.570, 6.563]], "species": ["I", "I", "I", "I", "I", "I", "I", "I", "Rb", "Rb"], "fractional_positions": [[0.500, 0.500, 0.000], [0.000, 0.000, 0.000], [0.277, 0.277, 0.447], [0.723, 0.723, 0.553], [0.230, 0.230, 0.000], [0.770, 0.770, 0.000], [0.770, 0.230, 0.000], [0.230, 0.770, 0.000], [0.750, 0.250, 0.500], [0.250, 0.750, 0.500]]}

Record 2
{"formula": "RbRe2I", "functional": "GGA-PBE", "state": "relaxed", "dos_ef_per_ev_atom": 0.7858, "total_energy_ev_per_atom": -5.26, "formation_energy_uncorrected_ev_per_atom": 1.592, "de_polymorph_ev_per_atom": 0.0000, "cell": [[-0.338, -4.607, -1.357], [3.686, -1.121, 2.886], [-4.587, -4.564, 8.100]], "species": ["I", "I", "Re", "Re", "Re", "Re", "Rb", "Rb"], "fractional_positions": [[0.000, 0.000, 0.000], [0.750, 0.250, 0.500], [0.809, 0.125, 0.250], [0.941, 0.625, 0.250], [0.375, 0.191, 0.750], [0.875, 0.059, 0.750], [0.500, 0.500, 0.000], [0.250, 0.750, 0.500]]}

Record 3
{"formula": "RbRe2I", "functional": "GGA-PBE", "state": "relaxed", "dos_ef_per_ev_atom": 1.5728, "total_energy_ev_per_atom": -4.28, "formation_energy_uncorrected_ev_per_atom": 2.575, "de_polymorph_ev_per_atom": 0.9830, "cell": [[-2.114, -3.497, 2.584], [-4.823, -0.258, 0.228], [-2.338, -3.587, -2.245]], "species": ["I", "Re", "Re", "Rb"], "fractional_positions": [[0.500, 0.500, 0.500], [0.250, 0.250, 0.250], [0.750, 0.750, 0.750], [0.000, 0.000, 0.000]]}

Record 4
{"formula": "RbRe3I", "functional": "GGA-PBE", "state": "relaxed", "dos_ef_per_ev_atom": 1.4047, "total_energy_ev_per_atom": -5.11, "formation_energy_uncorrected_ev_per_atom": 2.867, "de_polymorph_ev_per_atom": 0.0000, "cell": [[5.002, 0.000, 0.000], [0.000, 5.002, 0.000], [0.000, 0.000, 5.002]], "species": ["I", "Re", "Re", "Re", "Rb"], "fractional_positions": [[0.000, 0.000, 0.000], [0.000, 0.500, 0.000], [0.000, 0.000, 0.500], [0.500, 0.000, 0.000], [0.500, 0.500, 0.500]]}

Record 5
{"formula": "RbReI2", "functional": "GGA-PBE", "state": "relaxed", "dos_ef_per_ev_atom": 0.0052, "total_energy_ev_per_atom": -3.36, "formation_energy_uncorrected_ev_per_atom": 0.765, "de_polymorph_ev_per_atom": 0.4116, "cell": [[0.000, 4.236, 4.236], [4.236, 0.000, 4.236], [4.236, 4.236, 0.000]], "species": ["I", "I", "Re", "Rb"], "fractional_positions": [[0.250, 0.250, 0.250], [0.750, 0.750, 0.750], [0.500, 0.500, 0.500], [0.000, 0.000, 0.000]]}

Record 6
{"formula": "Rb3ReI6", "functional": "GGA-PBE", "state": "relaxed", "dos_ef_per_ev_atom": 1.1576, "total_energy_ev_per_atom": -3.18, "formation_energy_uncorrected_ev_per_atom": -0.710, "cell": [[-6.392, 4.983, 3.284], [-4.761, -7.159, 1.595], [-3.033, -1.528, 8.058]], "species": ["I", "I", "I", "I", "I", "I", "Re", "Rb", "Rb", "Rb"], "fractional_positions": [[0.222, 0.222, 0.556], [0.778, 0.778, 0.444], [0.222, 0.222, 0.000], [0.778, 0.778, 0.000], [0.778, 0.222, 0.000], [0.222, 0.778, 0.000], [0.000, 0.000, 0.000], [0.500, 0.500, 0.000], [0.750, 0.250, 0.500], [0.250, 0.750, 0.500]]}